# Pr3Cr10N11 (PBEsol, relaxed)
# E_form (uncorrected) in meV per atom: -897
data_Pr3Cr10N11
_chemical_formula_sum 'Pr6 Cr20 N22'
_symmetry_space_group_name_H-M 'P 1'
_symmetry_Int_Tables_number 1
_symmetry_space_group_name_Hall 'P 1'
_cell_length_a 8.9964
_cell_length_b 8.9964
_cell_length_c 8.9964
_cell_angle_alpha 60.00
_cell_angle_beta 60.00
_cell_angle_gamma 60.00
loop_
_atom_site_label
_atom_site_type_symbol
_atom_site_fract_x
_atom_site_fract_y
_atom_site_fract_z
_atom_site_occupancy
Cr1 Cr 0.3995 0.1005 0.3995 1
Cr2 Cr 0.0950 0.7150 0.0950 1
Cr3 Cr 0.9050 0.9050 0.2850 1
N1 N 0.3449 0.0000 0.0000 1
N2 N 0.3524 0.3524 0.9429 1
Cr4 Cr 0.7150 0.0950 0.0950 1
Cr5 Cr 0.8995 0.6005 0.8995 1
N3 N 0.3449 0.0000 0.6551 1
Pr1 Pr 0.3015 0.6985 0.6985 1
N4 N 0.0000 0.6551 0.0000 1
Pr2 Pr 0.3015 0.6985 0.3015 1
Cr6 Cr 0.3995 0.1005 0.1005 1
Pr3 Pr 0.6985 0.3015 0.3015 1
N5 N 0.5000 0.5000 0.5000 1
Cr7 Cr 0.8995 0.8995 0.6005 1
Cr8 Cr 0.9050 0.2850 0.9050 1
Cr9 Cr 0.3995 0.3995 0.1005 1
Cr10 Cr 0.9050 0.9050 0.9050 1
N6 N 0.6551 0.0000 0.0000 1
N7 N 0.0000 0.3449 0.0000 1
Cr11 Cr 0.0950 0.0950 0.7150 1
N8 N 0.0000 0.0000 0.0000 1
Cr12 Cr 0.6005 0.6005 0.8995 1
N9 N 0.6476 0.0571 0.6476 1
Cr13 Cr 0.6005 0.8995 0.8995 1
N10 N 0.3524 0.3524 0.3524 1
N11 N 0.3524 0.9429 0.3524 1
N12 N 0.9429 0.3524 0.3524 1
N13 N 0.0571 0.6476 0.6476 1
N14 N 0.0000 0.0000 0.3449 1
N15 N 0.0000 0.3449 0.6551 1
N16 N 0.6476 0.6476 0.6476 1
Pr4 Pr 0.3015 0.3015 0.6985 1
Cr14 Cr 0.1005 0.3995 0.1005 1
Cr15 Cr 0.0950 0.0950 0.0950 1
Cr16 Cr 0.6005 0.8995 0.6005 1
Cr17 Cr 0.1005 0.3995 0.3995 1
Cr18 Cr 0.8995 0.6005 0.6005 1
Cr19 Cr 0.2850 0.9050 0.9050 1
N17 N 0.0000 0.0000 0.6551 1
N18 N 0.6476 0.6476 0.0571 1
N19 N 0.6551 0.0000 0.3449 1
Cr20 Cr 0.1005 0.1005 0.3995 1
N20 N 0.6551 0.3449 0.0000 1
N21 N 0.3449 0.6551 0.0000 1
Pr5 Pr 0.6985 0.6985 0.3015 1
Pr6 Pr 0.6985 0.3015 0.6985 1
N22 N 0.0000 0.6551 0.3449 1